[1]
This record from Alexandria describes crystalline RbGeOs2Pb at its relaxed geometry. The functional is PBE.

* formation energy from the elements: 10.46 eV/f.u.
* volume: 149.6 Å³/f.u.
* electronic total energy: -4.26 eV per atom

Unit cell a=5.1734 b=5.5914 c=5.1734 alpha=90.00 beta=90.00 gamma=90.00
Last column: magnetic moment on the atom in μB.
Sites, in units of the cell vectors:
Os1 0.0000 0.0000 0.5000  1.07
Os2 0.5000 0.0000 0.0000  1.15
Rb1 0.5000 0.5000 0.5000  0.00
Ge1 0.0000 0.5000 0.0000  -0.05
Pb1 0.0000 0.0000 0.0000  -0.04

=====

[2]
This record from Alexandria describes crystalline Ge2OsPd2 at its relaxed geometry. The functional is PBE.

* formation energy from the elements: 1.90 eV/f.u.
* volume: 80.4 Å³/f.u.
* excess energy over the best structure of this formula in the dataset: 0.326 eV/atom
* electronic total energy: -5.79 eV per atom

Unit cell a=3.7872 b=3.7872 c=6.2111 alpha=72.25 beta=72.25 gamma=90.00
Sites, in units of the cell vectors:
Pd1 0.2500 0.7500 0.5000
Pd2 0.7500 0.2500 0.5000
Ge1 0.3955 0.3955 0.2091
Ge2 0.6045 0.6045 0.7909
Os1 0.0000 0.0000 0.0000

=====

Question: The lowest volume belongs to which entry?
Answer: Ge2OsPd2